Record 1
The following is a PBE calculation of a relaxed LaTbCdSi crystal, from Alexandria.

Cell lengths 7.4303, 7.4303, 7.4303 Å; angles 90.00, 90.00, 90.00 degrees
Sites, in units of the cell vectors:
La  0.0000  0.0000  0.0000
La  0.0000  0.5000  0.5000
La  0.5000  0.0000  0.5000
La  0.5000  0.5000  0.0000
Tb  0.0000  0.0000  0.5000
Tb  0.0000  0.5000  0.0000
Tb  0.5000  0.0000  0.0000
Tb  0.5000  0.5000  0.5000
Cd  0.2500  0.2500  0.7500
Cd  0.2500  0.7500  0.2500
Cd  0.7500  0.2500  0.2500
Cd  0.7500  0.7500  0.7500
Si  0.2500  0.2500  0.2500
Si  0.2500  0.7500  0.7500
Si  0.7500  0.2500  0.7500
Si  0.7500  0.7500  0.2500

E_tot = -4.374 eV/atom
E_form (uncorrected) = -0.40 eV per atom
Magnetization = 0.000 μB per cell

=====

Record 2
The following is a PBE calculation of a relaxed LaY2CdSi crystal, from Alexandria.

Cell lengths 5.6140, 5.6140, 5.6511 Å; angles 90.00, 90.00, 90.00 degrees
Sites, in units of the cell vectors:
La  0.0000  0.0000  0.0000
Y  0.0000  0.5000  0.0000
Y  0.5000  0.0000  0.0000
Cd  0.0000  0.0000  0.5000
Si  0.5000  0.5000  0.5000

E_tot = -3.587 eV/atom
E_form (uncorrected) = 1.25 eV per atom
Magnetization = 0.000 μB per cell

=====

Record 3
The following is a PBE calculation of a relaxed La6Sm5Cd crystal, from Alexandria.

Cell lengths 9.6913, 9.6913, 9.6913 Å; angles 148.90, 117.03, 71.90 degrees
Sites, in units of the cell vectors:
La  0.0788  0.3359  0.7429
La  0.2408  0.0000  0.2408
La  0.4070  0.6641  0.7429
La  0.5930  0.3359  0.2571
La  0.7592  0.0000  0.7592
La  0.9212  0.6641  0.2571
Sm  0.1737  0.1737  0.0000
Sm  0.3372  0.8372  0.5000
Sm  0.5000  0.5000  0.0000
Sm  0.6628  0.1628  0.5000
Sm  0.8263  0.8263  0.0000
Cd  0.0000  0.5000  0.5000

Energy relative to the elements = -0.018 eV per atom
E_tot = -4.525 eV/atom
Magnetization = 0.000 μB per cell

=====

Record 4
The following is a PBE calculation of a relaxed La6Sm2Cd crystal, from Alexandria.

Cell lengths 9.9172, 9.9172, 3.7057 Å; angles 90.00, 90.00, 120.00 degrees
Sites, in units of the cell vectors:
La  0.0000  0.2851  0.0000
La  0.0000  0.6325  0.5000
La  0.2851  0.0000  0.0000
La  0.3675  0.3675  0.5000
La  0.6325  0.0000  0.5000
La  0.7149  0.7149  0.0000
Sm  0.3333  0.6667  0.0000
Sm  0.6667  0.3333  0.0000
Cd  0.0000  0.0000  0.5000

Energy relative to the elements = -0.054 eV per atom
E_tot = -4.489 eV/atom
Magnetization = 0.000 μB per cell

=====

Record 5
The following is a PBE calculation of a relaxed La8Sm5Cd crystal, from Alexandria.

Cell lengths 8.6923, 8.6923, 8.6923 Å; angles 109.96, 109.96, 108.50 degrees
Sites, in units of the cell vectors:
La  0.0801  0.6878  0.7762
La  0.1652  0.2634  0.7717
La  0.3122  0.0885  0.3924
La  0.4918  0.3936  0.2283
La  0.6064  0.8348  0.0982
La  0.6961  0.9199  0.6076
La  0.7366  0.5082  0.9018
La  0.9115  0.3039  0.2238
Sm  0.2370  0.6282  0.2028
Sm  0.3718  0.5746  0.6088
Sm  0.4254  0.0342  0.7972
Sm  0.7500  0.2500  0.5000
Sm  0.9658  0.7630  0.3912
Cd  0.0000  0.0000  0.0000

Energy relative to the elements = 0.178 eV per atom
E_tot = -4.389 eV/atom
Magnetization = 0.001 μB per cell

=====

Record 6
The following is a PBE calculation of a relaxed La5Sm12Cd2 crystal, from Alexandria.

Cell lengths 9.1737, 9.1737, 8.6609 Å; angles 92.88, 92.88, 61.32 degrees
Sites, in units of the cell vectors:
La  0.0000  0.0000  0.0000
La  0.2323  0.2323  0.0731
La  0.2971  0.2971  0.4774
La  0.7029  0.7029  0.5226
La  0.7677  0.7677  0.9269
Sm  0.0413  0.6756  0.2626
Sm  0.0741  0.0741  0.3819
Sm  0.1806  0.5659  0.8217
Sm  0.3244  0.9587  0.7374
Sm  0.4341  0.8194  0.1783
Sm  0.4449  0.4449  0.1687
Sm  0.5551  0.5551  0.8313
Sm  0.5659  0.1806  0.8217
Sm  0.6756  0.0413  0.2626
Sm  0.8194  0.4341  0.1783
Sm  0.9259  0.9259  0.6181
Sm  0.9587  0.3244  0.7374
Cd  0.3314  0.6686  0.5000
Cd  0.6686  0.3314  0.5000

Energy relative to the elements = 0.029 eV per atom
E_tot = -4.344 eV/atom
Magnetization = 0.000 μB per cell

=====

Record 7
The following is a PBE calculation of a relaxed La6Sm3Cd crystal, from Alexandria.

Cell lengths 11.3522, 5.2339, 11.6358 Å; angles 90.00, 91.95, 90.00 degrees
Sites, in units of the cell vectors:
La  0.0448  0.2500  0.3909
La  0.1368  0.7500  0.1851
La  0.1538  0.2500  0.6869
La  0.2351  0.2500  0.9936
La  0.3469  0.7500  0.7986
La  0.4510  0.2500  0.6007
La  0.5490  0.7500  0.3993
La  0.6531  0.2500  0.2014
La  0.7649  0.7500  0.0064
La  0.8462  0.7500  0.3131
La  0.8632  0.2500  0.8149
La  0.9552  0.7500  0.6091
Sm  0.2469  0.7500  0.4902
Sm  0.3465  0.2500  0.2942
Sm  0.4497  0.7500  0.0974
Sm  0.5503  0.2500  0.9026
Sm  0.6535  0.7500  0.7058
Sm  0.7531  0.2500  0.5098
Cd  0.0547  0.7500  0.8928
Cd  0.9453  0.2500  0.1072

Energy relative to the elements = -0.027 eV per atom
E_tot = -4.491 eV/atom
Magnetization = 0.000 μB per cell

=====

Record 8
The following is a PBE calculation of a relaxed La5Sm5Cd2 crystal, from Alexandria.

Cell lengths 6.8614, 6.8614, 11.3892 Å; angles 90.19, 90.19, 48.38 degrees
Sites, in units of the cell vectors:
La  0.0000  0.0000  0.0000
La  0.3210  0.3210  0.5340
La  0.4829  0.4829  0.2478
La  0.5171  0.5171  0.7522
La  0.6790  0.6790  0.4660
Sm  0.0000  0.0000  0.5000
Sm  0.1837  0.1837  0.2463
Sm  0.3163  0.3163  0.9637
Sm  0.6837  0.6837  0.0363
Sm  0.8163  0.8163  0.7537
Cd  0.1489  0.1489  0.7483
Cd  0.8511  0.8511  0.2517

Energy relative to the elements = -0.065 eV per atom
E_tot = -4.237 eV/atom
Magnetization = 0.000 μB per cell

=====

Record 9
The following is a PBE calculation of a relaxed La6SmCd crystal, from Alexandria.

Cell lengths 6.6590, 6.6632, 9.2439 Å; angles 110.78, 90.41, 119.83 degrees
Sites, in units of the cell vectors:
La  0.0371  0.3408  0.2811
La  0.2002  0.2635  0.7208
La  0.4328  0.9762  0.2824
La  0.5672  0.0238  0.7176
La  0.7998  0.7365  0.2792
La  0.9629  0.6592  0.7189
Sm  0.5000  0.5000  0.5000
Cd  0.0000  0.5000  0.0000

Energy relative to the elements = 0.345 eV per atom
E_tot = -4.055 eV/atom
Magnetization = 0.023 μB per cell
Offset from the most stable computed form = 403.4 meV/atom

=====

Record 10
The following is a PBE calculation of a relaxed La15Sm2Cd2 crystal, from Alexandria.

Cell lengths 8.8934, 8.8934, 8.8934 Å; angles 77.71, 77.71, 77.71 degrees
Sites, in units of the cell vectors:
La  0.0000  0.0000  0.5000
La  0.0000  0.2888  0.7112
La  0.0000  0.5000  0.0000
La  0.0000  0.7112  0.2888
La  0.1739  0.6039  0.6039
La  0.2888  0.0000  0.7112
La  0.2888  0.7112  0.0000
La  0.3961  0.3961  0.8261
La  0.3961  0.8261  0.3961
La  0.5000  0.0000  0.0000
La  0.6039  0.1739  0.6039
La  0.6039  0.6039  0.1739
La  0.7112  0.0000  0.2888
La  0.7112  0.2888  0.0000
La  0.8261  0.3961  0.3961
Sm  0.2952  0.2952  0.2952
Sm  0.7048  0.7048  0.7048
Cd  0.0942  0.0942  0.0942
Cd  0.9058  0.9058  0.9058

Energy relative to the elements = 0.126 eV per atom
E_tot = -4.357 eV/atom
Magnetization = 0.000 μB per cell

=====

Record 11
The following is a PBE calculation of a relaxed La5Sm4Cd crystal, from Alexandria.

Cell lengths 3.7442, 3.7442, 24.6822 Å; angles 90.00, 90.00, 90.00 degrees
Sites, in units of the cell vectors:
La  0.0000  0.0000  0.0000
La  0.0000  0.0000  0.2066
La  0.0000  0.0000  0.4134
La  0.0000  0.0000  0.5866
La  0.0000  0.0000  0.7934
Sm  0.5000  0.5000  0.1032
Sm  0.5000  0.5000  0.3092
Sm  0.5000  0.5000  0.6908
Sm  0.5000  0.5000  0.8968
Cd  0.5000  0.5000  0.5000

Energy relative to the elements = -0.047 eV per atom
E_tot = -4.490 eV/atom
Magnetization = 0.001 μB per cell

=====

Record 12
The following is a PBE calculation of a relaxed La3Sm2Cd3 crystal, from Alexandria.

Cell lengths 3.8653, 5.6372, 22.9625 Å; angles 90.00, 90.00, 90.00 degrees
Sites, in units of the cell vectors:
La  0.0000  0.0000  0.0000
La  0.0000  0.5000  0.1230
La  0.0000  0.5000  0.8770
La  0.5000  0.0000  0.3770
La  0.5000  0.0000  0.6230
La  0.5000  0.5000  0.5000
Sm  0.0000  0.0000  0.2349
Sm  0.0000  0.0000  0.7651
Sm  0.5000  0.5000  0.2651
Sm  0.5000  0.5000  0.7349
Cd  0.0000  0.0000  0.5000
Cd  0.0000  0.5000  0.3785
Cd  0.0000  0.5000  0.6215
Cd  0.5000  0.0000  0.1215
Cd  0.5000  0.0000  0.8785
Cd  0.5000  0.5000  0.0000

Energy relative to the elements = -0.246 eV per atom
E_tot = -3.616 eV/atom
Magnetization = 0.002 μB per cell
Offset from the most stable computed form = 0.0 meV/atom

=====

Record 13
The following is a PBE calculation of a relaxed La4Sm2Cd crystal, from Alexandria.

Cell lengths 17.1083, 3.6153, 8.8164 Å; angles 90.00, 117.19, 90.00 degrees
Sites, in units of the cell vectors:
La  0.0818  0.0000  0.2017
La  0.1296  0.5000  0.8845
La  0.3704  0.0000  0.1155
La  0.4182  0.5000  0.7983
La  0.5818  0.5000  0.2017
La  0.6296  0.0000  0.8845
La  0.8704  0.5000  0.1155
La  0.9182  0.0000  0.7983
Sm  0.2174  0.0000  0.6397
Sm  0.2826  0.5000  0.3603
Sm  0.7174  0.5000  0.6397
Sm  0.7826  0.0000  0.3603
Cd  0.0000  0.0000  0.5000
Cd  0.5000  0.5000  0.5000

Energy relative to the elements = 0.017 eV per atom
E_tot = -4.278 eV/atom
Magnetization = 0.000 μB per cell
Offset from the most stable computed form = 40.6 meV/atom

=====

Record 14
The following is a PBE calculation of a relaxed La9Sm2Cd crystal, from Alexandria.

Cell lengths 5.1699, 5.1699, 15.6852 Å; angles 90.00, 90.00, 90.00 degrees
Sites, in units of the cell vectors:
La  0.0000  0.0000  0.0000
La  0.0000  0.0000  0.3310
La  0.0000  0.0000  0.6690
La  0.0000  0.5000  0.1624
La  0.0000  0.5000  0.5000
La  0.0000  0.5000  0.8376
La  0.5000  0.0000  0.1624
La  0.5000  0.0000  0.5000
La  0.5000  0.0000  0.8376
Sm  0.5000  0.5000  0.3293
Sm  0.5000  0.5000  0.6707
Cd  0.5000  0.5000  0.0000

Energy relative to the elements = -0.032 eV per atom
E_tot = -4.591 eV/atom
Magnetization = 0.000 μB per cell

=====

Record 15
The following is a PBE calculation of a relaxed LaSmCd6 crystal, from Alexandria.

Cell lengths 4.9810, 7.1672, 11.4387 Å; angles 90.00, 90.00, 90.00 degrees
Sites, in units of the cell vectors:
La  0.0000  0.0000  0.0000
La  0.0000  0.5000  0.5000
Sm  0.5000  0.0000  0.7084
Sm  0.5000  0.5000  0.2084
Cd  0.0000  0.0000  0.5261
Cd  0.0000  0.2186  0.2645
Cd  0.0000  0.2814  0.7645
Cd  0.0000  0.5000  0.0261
Cd  0.0000  0.7186  0.7645
Cd  0.0000  0.7814  0.2645
Cd  0.5000  0.0000  0.1889
Cd  0.5000  0.2147  0.4427
Cd  0.5000  0.2853  0.9427
Cd  0.5000  0.5000  0.6889
Cd  0.5000  0.7147  0.9427
Cd  0.5000  0.7853  0.4427

Energy relative to the elements = -0.304 eV per atom
E_tot = -2.196 eV/atom
Magnetization = 0.000 μB per cell

=====

Record 16
The following is a PBE calculation of a relaxed La3Sm12Cd crystal, from Alexandria.

Cell lengths 5.1021, 5.1021, 20.5879 Å; angles 90.00, 90.00, 90.00 degrees
Sites, in units of the cell vectors:
La  0.0000  0.0000  0.0000
La  0.0000  0.0000  0.2535
La  0.0000  0.0000  0.7465
Sm  0.0000  0.5000  0.1270
Sm  0.0000  0.5000  0.3811
Sm  0.0000  0.5000  0.6189
Sm  0.0000  0.5000  0.8730
Sm  0.5000  0.0000  0.1270
Sm  0.5000  0.0000  0.3811
Sm  0.5000  0.0000  0.6189
Sm  0.5000  0.0000  0.8730
Sm  0.5000  0.5000  0.0000
Sm  0.5000  0.5000  0.2576
Sm  0.5000  0.5000  0.5000
Sm  0.5000  0.5000  0.7424
Cd  0.0000  0.0000  0.5000

Energy relative to the elements = 0.001 eV per atom
E_tot = -4.520 eV/atom
Magnetization = 0.000 μB per cell

=====

Record 17
The following is a PBE calculation of a relaxed La2Sm5Cd3 crystal, from Alexandria.

Cell lengths 10.4028, 10.4028, 10.4028 Å; angles 97.15, 95.94, 140.53 degrees
Sites, in units of the cell vectors:
La  0.1545  0.2124  0.3670
La  0.3455  0.7124  0.0579
La  0.6545  0.2875  0.9421
La  0.8455  0.7876  0.6330
Sm  0.0234  0.7500  0.2734
Sm  0.0694  0.6719  0.7413
Sm  0.2500  0.2500  0.0000
Sm  0.4306  0.1719  0.6025
Sm  0.4766  0.7500  0.7266
Sm  0.5234  0.2500  0.2734
Sm  0.5694  0.8281  0.3975
Sm  0.7500  0.7500  0.0000
Sm  0.9306  0.3281  0.2587
Sm  0.9766  0.2500  0.7266
Cd  0.1383  0.8751  0.0134
Cd  0.2500  0.7500  0.5000
Cd  0.3617  0.3751  0.7367
Cd  0.6383  0.6249  0.2633
Cd  0.7500  0.2500  0.5000
Cd  0.8617  0.1249  0.9866

Energy relative to the elements = 0.008 eV per atom
E_tot = -3.612 eV/atom
Magnetization = 0.000 μB per cell

=====

Record 18
The following is a PBE calculation of a relaxed La3Sm2Cd crystal, from Alexandria.

Cell lengths 3.7525, 3.7525, 14.4858 Å; angles 90.00, 90.00, 90.00 degrees
Sites, in units of the cell vectors:
La  0.0000  0.0000  0.0000
La  0.0000  0.0000  0.3531
La  0.0000  0.0000  0.6469
Sm  0.5000  0.5000  0.1753
Sm  0.5000  0.5000  0.8247
Cd  0.5000  0.5000  0.5000

Energy relative to the elements = -0.090 eV per atom
E_tot = -4.279 eV/atom
Magnetization = 0.000 μB per cell
Offset from the most stable computed form = 0.0 meV/atom

=====

Record 19
The following is a PBE calculation of a relaxed La7Sm2Cd2 crystal, from Alexandria.

Cell lengths 6.9067, 6.9067, 8.1351 Å; angles 97.58, 97.58, 96.40 degrees
Sites, in units of the cell vectors:
La  0.0000  0.0000  0.0000
La  0.0901  0.5275  0.8174
La  0.3354  0.3354  0.5126
La  0.4725  0.9099  0.1826
La  0.5275  0.0901  0.8174
La  0.6646  0.6646  0.4874
La  0.9099  0.4725  0.1826
Sm  0.1663  0.8337  0.5000
Sm  0.8337  0.1663  0.5000
Cd  0.3919  0.3919  0.1260
Cd  0.6081  0.6081  0.8740

Energy relative to the elements = 0.020 eV per atom
E_tot = -4.140 eV/atom
Magnetization = 0.000 μB per cell

=====

Record 20
The following is a PBE calculation of a relaxed La5SmCd6 crystal, from Alexandria.

Cell lengths 5.5236, 7.8603, 8.7431 Å; angles 90.00, 108.34, 90.00 degrees
Sites, in units of the cell vectors:
La  0.0000  0.0000  0.0000
La  0.3312  0.0000  0.6619
La  0.3334  0.5000  0.6663
La  0.6666  0.5000  0.3337
La  0.6688  0.0000  0.3381
Sm  0.0000  0.5000  0.0000
Cd  0.1629  0.2544  0.3263
Cd  0.1629  0.7456  0.3263
Cd  0.5000  0.2560  0.0000
Cd  0.5000  0.7440  0.0000
Cd  0.8371  0.2544  0.6737
Cd  0.8371  0.7456  0.6737

Energy relative to the elements = -0.325 eV per atom
E_tot = -3.229 eV/atom
Magnetization = 1.797 μB per cell